Compound: Ga4Pd5
Source: the Alexandria database
Functional: PBE-GGA
Structure: relaxed

Cell lengths 3.1054, 8.5216, 10.3934 Å; angles 90.00, 90.00, 90.00 degrees
Space group Immm (No. 71)
Symmetry-distinct sites (fractional):
Ga1 0.0000 0.1869 0.1499 [8 per cell]
Pd1 0.0000 0.1580 0.5000 [4 per cell]
Pd2 0.0000 0.5000 0.2161 [4 per cell]
Pd3 0.0000 0.5000 0.5000 [2 per cell]

Properties
As for the density of states at the Fermi level: 7.029 states/eV/cell. The density is 9.793 g/cm3. The formation energy comes out at -0.516 eV per atom. For the final energy, the calculation gives -4.75 eV per atom. The magnetization is 0.0 μB/f.u.